Density functional theory data (PBE) for crystalline Cs3NaTl2Cl6 at its relaxed geometry.

## Properties
M_tot	0.000	μB per atom
V	36.86	Å³/atom
uncorrected formation energy	-1.5929	eV per atom

Cell and atoms, written as CIF:
```
data_Cs3NaTl2Cl6
_chemical_formula_sum 'Cs6 Na2 Tl4 Cl12'
_space_group_name_H-M_alt 'C 1 2/m 1'
_space_group_IT_number 12
_cell_length_a 8.1675
_cell_length_b 14.1118
_cell_length_c 8.1456
_cell_angle_alpha 90.00
_cell_angle_beta 109.56
_cell_angle_gamma 90.00
loop_
_space_group_symop_operation_xyz
'x,y,z'
'-x,-y,-z'
'-x,y,-z'
'x,-y,z'
'x+1/2,y+1/2,z'
'-x+1/2,-y+1/2,-z'
'-x+1/2,y+1/2,-z'
'x+1/2,-y+1/2,z'
loop_
_atom_site_label
_atom_site_fract_x
_atom_site_fract_y
_atom_site_fract_z
Cs1 0.0000 0.0000 0.0000
Cs2 0.0000 0.3282 0.0000
Na1 0.0000 0.5000 0.5000
Tl1 0.0000 0.1650 0.5000
Cl1 0.2279 0.3439 0.7165
Cl2 0.2387 0.5000 0.2774
```